1 | Compound: BaEuCu
Source: Alexandria
Functional: PBE
Structure: optimized geometry

Summary:
V ... 37.4 Å³ per atom

Cell: 5.413 5.413 5.413 Å, 60.00 60.00 60.00°
Sites, in units of the cell vectors:
Ba  0.000  0.000  0.000
Eu  0.500  0.500  0.500
Cu  0.250  0.250  0.250

=====

2 | Compound: BaEuCu
Source: Alexandria
Functional: PBE
Structure: optimized geometry

Summary:
V ... 40.2 Å³ per atom

Cell: 4.575 4.575 6.645 Å, 90.00 90.00 120.00°
Sites, in units of the cell vectors:
Ba  0.000  0.000  0.000
Eu  0.333  0.667  0.512
Cu  0.667  0.333  0.725

=====

Tell me which of them is the least stable. Sure, it is 1.

=====

1 | Compound: BaEuCu2
Source: Alexandria
Functional: PBE
Structure: optimized geometry

Summary:
V ... 27.5 Å³ per atom

Cell: 5.395 5.395 3.777 Å, 90.00 90.00 90.00°
Sites, in units of the cell vectors:
Ba  0.000  0.000  0.000
Eu  0.500  0.500  0.000
Cu  0.000  0.500  0.500
Cu  0.500  0.000  0.500

=====

2 | Compound: BaEuCu2
Source: Alexandria
Functional: PBE
Structure: optimized geometry

Summary:
V ... 27.7 Å³ per atom

Cell: 5.389 5.389 5.389 Å, 60.00 60.00 60.00°
Sites, in units of the cell vectors:
Ba  0.000  0.000  0.000
Eu  0.500  0.500  0.500
Cu  0.250  0.250  0.250
Cu  0.750  0.750  0.750

=====

Tell me which of them is the least stable. Sure, it is 2.

=====

1 | Compound: Ba2CuF6
Source: Alexandria
Functional: PBE
Structure: optimized geometry

Summary:
V ... 15.1 Å³ per atom

Cell: 5.851 5.851 4.580 Å, 90.00 90.00 120.00°
Sites, in units of the cell vectors:
Ba  0.333  0.667  0.235
Ba  0.667  0.333  0.765
Cu  0.000  0.000  0.500
F  0.173  0.346  0.732
F  0.173  0.827  0.732
F  0.346  0.173  0.268
F  0.654  0.827  0.732
F  0.827  0.173  0.268
F  0.827  0.654  0.268

=====

2 | Compound: Ba2CuF6
Source: Alexandria
Functional: PBE
Structure: optimized geometry

Summary:
V ... 15.7 Å³ per atom

Cell: 8.491 8.491 8.491 Å, 151.30 151.30 41.04°
Sites, in units of the cell vectors:
Ba  0.149  0.149  0.000
Ba  0.851  0.851  0.000
Cu  0.500  0.500  0.000
F  0.000  0.500  0.500
F  0.250  0.750  0.500
F  0.380  0.380  0.000
F  0.500  0.000  0.500
F  0.620  0.620  0.000
F  0.750  0.250  0.500

=====

3 | Compound: Ba2CuF6
Source: Alexandria
Functional: PBE
Structure: optimized geometry

Summary:
V ... 19.6 Å³ per atom

Cell: 5.527 5.527 11.528 Å, 90.00 90.00 90.00°
Sites, in units of the cell vectors:
Ba  0.000  0.000  0.164
Ba  0.000  0.000  0.836
Ba  0.500  0.500  0.336
Ba  0.500  0.500  0.664
Cu  0.000  0.000  0.500
Cu  0.500  0.500  0.000
F  0.176  0.176  0.354
F  0.176  0.176  0.646
F  0.249  0.751  0.500
F  0.251  0.251  0.000
F  0.324  0.676  0.146
F  0.324  0.676  0.854
F  0.676  0.324  0.146
F  0.676  0.324  0.854
F  0.749  0.749  0.000
F  0.751  0.249  0.500
F  0.824  0.824  0.354
F  0.824  0.824  0.646

=====

Tell me which of them is the least stable. Sure, it is 3.

=====

1 | Compound: BaCuF2
Source: Alexandria
Functional: PBE
Structure: optimized geometry

Summary:
V ... 23.0 Å³ per atom

Cell: 7.914 7.914 7.914 Å, 142.35 142.35 54.30°
Sites, in units of the cell vectors:
Ba  0.000  0.000  0.000
Ba  0.750  0.250  0.500
Cu  0.250  0.750  0.500
Cu  0.500  0.500  0.000
F  0.137  0.625  0.012
F  0.375  0.387  0.512
F  0.613  0.125  0.988
F  0.875  0.863  0.488

=====

2 | Compound: BaCuF2
Source: Alexandria
Functional: PBE
Structure: optimized geometry

Summary:
V ... 17.8 Å³ per atom

Cell: 4.654 4.654 4.654 Å, 60.00 60.00 60.00°
Sites, in units of the cell vectors:
Ba  0.000  0.000  0.000
Cu  0.500  0.500  0.500
F  0.250  0.250  0.250
F  0.750  0.750  0.750

=====

Tell me which of them is the least stable. Sure, it is 1.

=====

1 | Compound: BaCu2F
Source: Alexandria
Functional: PBE
Structure: optimized geometry

Summary:
V ... 20.4 Å³ per atom

Cell: 12.455 12.455 12.455 Å, 163.09 163.09 24.01°
Sites, in units of the cell vectors:
Ba  0.000  0.000  0.000
Ba  0.750  0.250  0.500
Cu  0.127  0.125  0.502
Cu  0.375  0.873  0.998
Cu  0.623  0.625  0.498
Cu  0.875  0.377  0.002
F  0.250  0.750  0.500
F  0.500  0.500  0.000

=====

2 | Compound: BaCu2F
Source: Alexandria
Functional: PBE
Structure: optimized geometry

Summary:
V ... 22.5 Å³ per atom

Cell: 5.030 5.030 5.030 Å, 60.00 60.00 60.00°
Sites, in units of the cell vectors:
Ba  0.000  0.000  0.000
Cu  0.250  0.250  0.250
Cu  0.750  0.750  0.750
F  0.500  0.500  0.500

=====

Tell me which of them is the least stable. Sure, it is 2.

=====

1 | Compound: BaCu2F2
Source: Alexandria
Functional: PBE
Structure: optimized geometry

Summary:
V ... 19.1 Å³ per atom

Cell: 7.235 7.235 3.658 Å, 90.00 90.00 90.00°
Sites, in units of the cell vectors:
Ba  0.000  0.000  0.000
Ba  0.500  0.500  0.000
Cu  0.108  0.392  0.000
Cu  0.392  0.892  0.000
Cu  0.608  0.108  0.000
Cu  0.892  0.608  0.000
F  0.240  0.260  0.500
F  0.260  0.760  0.500
F  0.740  0.240  0.500
F  0.760  0.740  0.500

=====

2 | Compound: BaCu2F2
Source: Alexandria
Functional: PBE
Structure: optimized geometry

Summary:
V ... 17.1 Å³ per atom

Cell: 5.503 5.503 5.503 Å, 133.84 133.84 67.34°
Sites, in units of the cell vectors:
Ba  0.000  0.000  0.000
Cu  0.376  0.376  0.000
Cu  0.624  0.624  0.000
F  0.250  0.750  0.500
F  0.750  0.250  0.500

=====

Tell me which of them is the least stable. Sure, it is 1.

=====

1 | Compound: BaCuNF2
Source: Alexandria
Functional: PBE
Structure: optimized geometry

Summary:
V ... 14.8 Å³ per atom

Cell: 4.439 4.439 3.759 Å, 90.00 90.00 90.00°
Sites, in units of the cell vectors:
Ba  0.000  0.000  0.000
Cu  0.500  0.500  0.500
N  0.500  0.500  0.000
F  0.000  0.500  0.500
F  0.500  0.000  0.500

=====

2 | Compound: BaCuNF2
Source: Alexandria
Functional: PBE
Structure: optimized geometry

Summary:
V ... 27.9 Å³ per atom

Cell: 4.935 4.935 5.721 Å, 90.00 90.00 90.00°
Sites, in units of the cell vectors:
Ba  0.000  0.000  0.000
Cu  0.500  0.500  0.500
N  0.000  0.000  0.500
F  0.000  0.500  0.000
F  0.500  0.000  0.000

=====

Tell me which of them is the least stable. Sure, it is 2.

=====

1 | Compound: BaCuN2F
Source: Alexandria
Functional: PBE
Structure: optimized geometry

Summary:
V ... 29.0 Å³ per atom

Cell: 5.437 5.437 4.909 Å, 90.00 90.00 90.00°
Sites, in units of the cell vectors:
Ba  0.000  0.000  0.000
Cu  0.500  0.500  0.500
N  0.000  0.500  0.000
N  0.500  0.000  0.000
F  0.000  0.000  0.500

=====

2 | Compound: BaCuN2F
Source: Alexandria
Functional: PBE
Structure: optimized geometry

Summary:
V ... 14.6 Å³ per atom

Cell: 3.808 3.808 5.035 Å, 90.00 90.00 90.00°
Sites, in units of the cell vectors:
Ba  0.000  0.000  0.000
Cu  0.500  0.500  0.500
N  0.000  0.500  0.500
N  0.500  0.000  0.500
F  0.500  0.500  0.000

=====

Tell me which of them is the least stable. Sure, it is 1.